# 1
## Li2La2DySi2 (PBE)

Data for crystalline Li2La2DySi2 at its relaxed geometry.

a = 4.4485 Å, b = 4.4485 Å, c = 9.8765 Å
α = 76.98°, β = 76.98°, γ = 60.00°
With the nearest neighbours (Å) after each atom.
Fractional positions:
La1 0.8759 0.8759 0.3724  3 Si 3.15, 3 Li 3.28
Si1 0.7272 0.7272 0.8183  3 Li 2.58
Dy1 0.0000 0.0000 0.0000  6 Li 2.98, 6 Si 3.10
La2 0.1241 0.1241 0.6276  3 Si 3.15, 3 Li 3.28
Si2 0.2728 0.2728 0.1817  3 Li 2.58
Li1 0.6136 0.6136 0.1592  3 Si 2.58
Li2 0.3864 0.3864 0.8408  3 Si 2.58

Calculated values
As for the formation energy (no corrections): -0.407 eV/atom. As for the crystal system: trigonal. As for the density of states at the Fermi level: 4.2 states/eV per cell. The spin magnetization comes out at 0.000 μB per cell.

***

# 2
## LiLaSmDy (PBE)

Data for crystalline LiLaSmDy at its relaxed geometry.

a = 5.6103 Å, b = 5.6103 Å, c = 5.6103 Å
α = 60.00°, β = 60.00°, γ = 60.00°
With the nearest neighbours (Å) after each atom.
Fractional positions:
Dy1 0.5000 0.5000 0.5000  4 La 3.44, 4 Sm 3.44
Sm1 0.7500 0.7500 0.7500  4 Dy 3.44, 4 Li 3.44
La1 0.2500 0.2500 0.2500  4 Li 3.44, 4 Dy 3.44
Li1 0.0000 0.0000 0.0000  4 Sm 3.44, 4 La 3.44

Calculated values
As for the crystal system: cubic. As for the density of states at the Fermi level: 4.6 states/eV per cell. The spin magnetization comes out at 0.000 μB per cell. Its formation enthalpy at 0 K is 0.6 eV per formula unit.

***

What is the formula in the first record?
Li2La2DySi2

***

Please write out number 2 again, unchanged.
## LiLaSmDy (PBE)

Data for crystalline LiLaSmDy at its relaxed geometry.

a = 5.6103 Å, b = 5.6103 Å, c = 5.6103 Å
α = 60.00°, β = 60.00°, γ = 60.00°
With the nearest neighbours (Å) after each atom.
Fractional positions:
Dy1 0.5000 0.5000 0.5000  4 La 3.44, 4 Sm 3.44
Sm1 0.7500 0.7500 0.7500  4 Dy 3.44, 4 Li 3.44
La1 0.2500 0.2500 0.2500  4 Li 3.44, 4 Dy 3.44
Li1 0.0000 0.0000 0.0000  4 Sm 3.44, 4 La 3.44

Calculated values
As for the crystal system: cubic. As for the density of states at the Fermi level: 4.6 states/eV per cell. The spin magnetization comes out at 0.000 μB per cell. Its formation enthalpy at 0 K is 0.6 eV per formula unit.